Computed, not measured: an optimized crystal structure of DyTmHg at the PBE level of DFT.

Geometry as extended XYZ:
```
18
Lattice="8.712 0.000 0.000 0.000 3.707 0.000 -0.366 0.000 15.322" Properties=species:S:1:pos:R:3 pbc="T T T"
Dy 0.097 0.927 4.358
Dy 2.924 2.780 13.958
Dy 3.909 2.780 9.306
Dy 4.437 0.927 6.016
Dy 5.421 0.927 1.365
Dy 8.249 2.780 10.964
Tm -0.080 0.927 13.846
Tm 1.045 0.927 8.461
Tm 3.009 2.780 3.295
Tm 5.336 0.927 12.027
Tm 7.300 2.780 6.861
Tm 8.426 2.780 1.476
Hg 1.910 2.780 6.206
Hg 2.217 0.927 0.963
Hg 2.181 0.927 11.421
Hg 6.165 2.780 3.902
Hg 6.129 2.780 14.359
Hg 6.435 0.927 9.116
```

## Properties
The density comes out at 10713 kg/m3. The total energy is -61.417 eV for the cell shown. The calculation puts the volume at 27.5 A^3/atom. Its symmetry is No. 11. The calculation puts the formation energy at -287 meV per atom. For the density of states at the Fermi level, the calculation gives 22.60 states/eV per cell.